[1]
## Ce5Bi2CSe (PBE)

Data for crystalline Ce5Bi2CSe at its relaxed geometry.

The space group is P4/mmm (No. 123) and the conventional cell measures 4.750, 4.750 and 11.416 Å, with angles of 90.00, 90.00 and 90.00 degrees. The distinct sites, in fractional coordinates, are Ce at (0.000, 0.000, 0.000), Ce at (0.000, 0.500, 0.500), Ce at (0.500, 0.500, 0.261), Bi at (0.000, 0.000, 0.286), C at (0.500, 0.500, 0.500) and Se at (0.500, 0.500, 0.000).

The total magnetization comes out at 0.44 μB per atom. Its uncorrected formation energy is -0.745 eV per atom. The calculation puts the volume at 28.61 A^3/atom.

[2]
## NaSn2Bi2 (PBE)

Data for crystalline NaSn2Bi2 at its relaxed geometry.

The space group is P4/mbm (No. 127) and the conventional cell measures 8.840, 8.840 and 4.065 Å, with angles of 90.00, 90.00 and 90.00 degrees. The distinct sites, in fractional coordinates, are Na at (0.000, 0.000, 0.000), Sn at (0.144, 0.356, 0.500) and Bi at (0.146, 0.646, 0.000).

The total magnetization comes out at 0.00 μB per atom. The calculation puts the formation energy at -0.028 eV per atom. The calculation puts the volume at 31.77 A^3/atom.

[3]
## Tm4Mg7Sc (PBE)

Data for crystalline Tm4Mg7Sc at its relaxed geometry.

The space group is C2/m (No. 12) and the conventional cell measures 11.072, 5.523 and 11.506 Å, with angles of 90.00, 114.23 and 90.00 degrees. The distinct sites, in fractional coordinates, are Tm at (0.058, 0.000, 0.332), Tm at (0.155, 0.500, 0.780), Mg at (0.000, 0.000, 0.000), Mg at (0.132, 0.500, 0.504), Mg at (0.208, 0.000, 0.925), Mg at (0.231, 0.500, 0.307) and Sc at (0.000, 0.500, 0.000).

The total magnetization comes out at 0.00 μB per atom. The calculation puts the formation energy at 0.173 eV per atom. The calculation puts the volume at 26.73 A^3/atom.

[4]
## ErTcMo (PBE)

Data for crystalline ErTcMo at its relaxed geometry.

The space group is Fmmm (No. 69) and the conventional cell measures 5.583, 8.551 and 9.624 Å, with angles of 90.00, 90.00 and 90.00 degrees. The distinct sites, in fractional coordinates, are Er at (0.000, 0.172, 0.000), Tc at (0.250, 0.250, 0.250) and Mo at (0.000, 0.000, 0.345).

The total magnetization comes out at 0.00 μB per atom. The calculation puts the formation energy at 0.225 eV per atom. The calculation puts the volume at 19.14 A^3/atom.